Below is a relaxed TbYCI crystal, with properties calculated at the PBE level.

a b c (Å): 3.7760 3.7760 7.7694
angles (deg): 90.00 104.07 120.00
With the nearest neighbours (Å) after each atom.
Element x y z (fractional)
Tb  0.5219  0.1589  0.6960  3 C 2.55
I  0.9675  0.3819  0.3644  3 Y 3.27, 3 Tb 3.30
C  0.3060  0.5509  0.8723  3 Y 2.50, 3 Tb 2.55
Y  0.0825  0.9391  0.0369  3 C 2.50

Output
**Space-group type**: R3m (160)
**Uncorrected formation energy**: -0.7436 eV/atom
**Raw total energy**: -24.84 eV for the cell shown
**N(E_F)**: 2.3 states/eV per cell